This record from the Alexandria database describes crystalline BaBiSe2N at its relaxed geometry. The functional is GGA-PBE.

Results
SG ... P4/mmm
Uncorrected formation energy ... -0.18 eV/atom
DOS at the Fermi energy ... 2.44 states/eV per cell
Volume ... 28.89 A^3/atom
M_tot ... 1.38 μB/f.u.

abc: 5.6610 5.6610 4.5080
angles: 90.00 90.00 90.00
With the nearest neighbours (Å) after each atom.
Sites, in units of the cell vectors:
1 N 0.0000 0.0000 0.5000  2 Bi 2.25
2 Bi 0.0000 0.0000 0.0000  2 N 2.25
3 Se 0.0000 0.5000 0.0000  2 Bi 2.83
4 Se 0.5000 0.0000 0.0000  2 Bi 2.83
5 Ba 0.5000 0.5000 0.5000  8 Se 3.62, 4 N 4.00